(1)
The following is a PBE-GGA calculation of Sm4ZnAg3 after structural relaxation, from the Alexandria database.

The structure in POSCAR format:
```
Sm4ZnAg3
1.0
-0.2791 2.2935 -2.8748
-2.9629 1.5676 1.5383
8.7365 9.7288 6.9134
Ag Sm Zn
3 4 1
direct
0.5000 0.5000 0.2463
0.5000 0.5000 0.7537
0.5000 0.5000 0.5000
0.0000 0.0000 0.3731
0.0000 0.0000 0.8803
0.0000 0.0000 0.6269
0.0000 0.0000 0.1197
0.5000 0.5000 0.0000
```

## Properties
DOS at the Fermi energy = 6.0 states/eV/f.u.
Distance to the lowest polymorph of the same formula = 0.0 kJ/mol of atoms


(2)
The following is a PBE-GGA calculation of SmZnAg2 after structural relaxation, from the Alexandria database.

The structure in POSCAR format:
```
SmZnAg2
1.0
4.9731 0.3189 -2.1194
2.1349 4.8720 -0.9098
0.0895 -0.1594 7.1045
Zn Ag Sm
2 4 2
direct
0.2492 0.7500 0.9983
0.7508 0.2500 0.0017
0.2461 0.0980 0.3288
0.7539 0.9020 0.6712
0.5827 0.4020 0.3288
0.4173 0.5980 0.6712
0.1263 0.2500 0.7526
0.8737 0.7500 0.2474
```

## Properties
DOS at the Fermi energy = 1.8 states/eV/f.u.
Total DFT energy (no corrections) = -3.182 eV per atom


(3)
The following is a PBE-GGA calculation of SmZn2Ag2 after structural relaxation, from the Alexandria database.

The structure in POSCAR format:
```
SmZn2Ag2
1.0
-1.4480 3.4713 0.7760
0.5147 -3.2309 5.9099
7.7092 2.9992 0.9683
Zn Ag Sm
4 4 2
direct
0.7633 0.5265 0.6029
0.2367 0.4735 0.1029
0.2367 0.4735 0.3971
0.7633 0.5265 0.8971
0.5924 0.1847 0.4187
0.5924 0.1847 0.0813
0.4076 0.8153 0.5813
0.4076 0.8153 0.9187
0.0843 0.1685 0.7500
0.9157 0.8315 0.2500
```

## Properties
DOS at the Fermi energy = 3.1 states/eV/f.u.
Total DFT energy (no corrections) = -2.755 eV per atom


(4)
The following is a PBE-GGA calculation of SmZn2Ag after structural relaxation, from the Alexandria database.

The structure in POSCAR format:
```
SmZn2Ag
1.0
4.4908 0.0000 0.0000
0.0000 4.3502 0.0000
0.0000 0.0000 4.3502
Ag Zn Sm
1 2 1
direct
0.5000 0.0000 0.0000
0.0000 0.0000 0.5000
0.0000 0.5000 0.0000
0.5000 0.5000 0.5000
```

## Properties
DOS at the Fermi energy = 3.1 states/eV/f.u.
Total DFT energy (no corrections) = -2.664 eV per atom


Copy entry 4 word for word.
The following is a PBE-GGA calculation of SmZn2Ag after structural relaxation, from the Alexandria database.

The structure in POSCAR format:
```
SmZn2Ag
1.0
4.4908 0.0000 0.0000
0.0000 4.3502 0.0000
0.0000 0.0000 4.3502
Ag Zn Sm
1 2 1
direct
0.5000 0.0000 0.0000
0.0000 0.0000 0.5000
0.0000 0.5000 0.0000
0.5000 0.5000 0.5000
```

## Properties
DOS at the Fermi energy = 3.1 states/eV/f.u.
Total DFT energy (no corrections) = -2.664 eV per atom


What is the DOS at the Fermi energy in the second record?
1.8 states/eV/f.u.


Number 1 is which compound?
Sm4ZnAg3


Copy entry 4 word for word.
The following is a PBE-GGA calculation of SmZn2Ag after structural relaxation, from the Alexandria database.

The structure in POSCAR format:
```
SmZn2Ag
1.0
4.4908 0.0000 0.0000
0.0000 4.3502 0.0000
0.0000 0.0000 4.3502
Ag Zn Sm
1 2 1
direct
0.5000 0.0000 0.0000
0.0000 0.0000 0.5000
0.0000 0.5000 0.0000
0.5000 0.5000 0.5000
```

## Properties
DOS at the Fermi energy = 3.1 states/eV/f.u.
Total DFT energy (no corrections) = -2.664 eV per atom